# MgAu

An optimized crystal structure of MgAu (PBE, Alexandria via LeMat-Bulk).

POSCAR file:
```
MgAu
1.0
0.0000 3.0430 3.0430
3.0430 0.0000 3.0430
3.0430 3.0430 0.0000
Mg Au
1 1
Direct
0.0000 0.0000 0.0000
0.7500 0.7500 0.7500
```

Output
Crystal system ... cubic
Calculated volume ... 56.4 Å³ per cell
Formation energy from the elements ... -0.67 kcal/mol of atoms
Calculated density ... 6.5 Mg/m³

***

# AsP2Br

An optimized crystal structure of AsP2Br (PBE, Alexandria via LeMat-Bulk).

POSCAR file:
```
AsP2Br
1.0
1.8621 1.0751 6.7150
-1.8621 1.0751 6.7150
0.0000 -2.1501 6.7150
As P Br
1 2 1
Direct
0.0000 0.0000 0.0000
0.2644 0.2644 0.2644
0.7356 0.7356 0.7356
0.5000 0.5000 0.5000
```

Output
Relative energy among the computed polymorphs ... 0.338 eV/atom
Crystal system ... trigonal
Calculated volume ... 80.7 Å³ per cell
Calculated density ... 4.5 Mg/m³

***

# La2ReAu

An optimized crystal structure of La2ReAu (PBE, Alexandria via LeMat-Bulk).

POSCAR file:
```
La2ReAu
1.0
1.7577 1.0148 9.4983
-1.7577 1.0148 9.4983
0.0000 -2.0297 9.4983
La Re Au
2 1 1
Direct
0.0000 0.0000 0.0000
0.2213 0.2213 0.2213
0.7379 0.7379 0.7379
0.4731 0.4731 0.4731
```

Output
Relative energy among the computed polymorphs ... 0.670 eV/atom
Crystal system ... trigonal
Calculated volume ... 101.7 Å³ per cell
Formation energy from the elements ... 11.56 kcal/mol of atoms
Calculated density ... 10.8 Mg/m³

***

# ZnSiAg2

An optimized crystal structure of ZnSiAg2 (PBE, Alexandria via LeMat-Bulk).

POSCAR file:
```
ZnSiAg2
1.0
1.9016 -2.1096 0.0000
1.9016 2.1096 0.0000
0.0000 0.0000 8.2640
Zn Si Ag
1 1 2
Direct
0.0000 0.0000 0.0000
0.5000 0.5000 0.2312
0.0000 0.0000 0.4828
0.5000 0.5000 0.7557
```

Output
Relative energy among the computed polymorphs ... 0.060 eV/atom
Crystal system ... orthorhombic
Calculated volume ... 66.3 Å³ per cell
Calculated density ... 7.7 Mg/m³

***

# AcPaCrN3

An optimized crystal structure of AcPaCrN3 (PBE, Alexandria via LeMat-Bulk).

POSCAR file:
```
AcPaCrN3
1.0
7.5583 0.0000 0.0000
0.0000 3.5275 0.0000
-2.0153 0.0000 7.3137
Ac Pa Cr N
2 2 2 6
Direct
0.2176 0.2500 0.1893
0.7824 0.7500 0.8107
0.1767 0.2500 0.6673
0.8233 0.7500 0.3327
0.4203 0.7500 0.9215
0.5797 0.2500 0.0785
0.1354 0.7500 0.4510
0.1468 0.7500 0.8694
0.4852 0.7500 0.1852
0.5148 0.2500 0.8148
0.8532 0.2500 0.1306
0.8646 0.2500 0.5490
```

Output
Crystal system ... monoclinic
Calculated volume ... 195.0 Å³ per cell
Calculated density ... 9.4 Mg/m³

***

# KLa2Pb

An optimized crystal structure of KLa2Pb (PBE, Alexandria via LeMat-Bulk).

POSCAR file:
```
KLa2Pb
1.0
3.7398 0.0000 0.0000
0.0000 5.8583 0.0000
-0.9816 0.0000 6.7389
K La Pb
1 2 1
Direct
0.0000 0.0000 0.0000
0.2850 0.5000 0.7036
0.7150 0.5000 0.2964
0.5000 0.0000 0.5000
```

Output
Crystal system ... monoclinic
Calculated volume ... 147.6 Å³ per cell
Formation energy from the elements ... -0.99 kcal/mol of atoms
Calculated density ... 5.9 Mg/m³

***

# DyScSO2

An optimized crystal structure of DyScSO2 (PBE, Alexandria via LeMat-Bulk).

POSCAR file:
```
DyScSO2
1.0
6.4298 0.0000 0.0000
0.0000 3.9522 0.0000
-3.0712 0.0000 6.6970
Dy Sc S O
2 2 2 4
Direct
0.1920 0.2500 0.4436
0.8080 0.7500 0.5564
0.1602 0.2500 0.9431
0.8398 0.7500 0.0569
0.4820 0.7500 0.7281
0.5180 0.2500 0.2719
0.0032 0.7500 0.3629
0.0413 0.7500 0.9016
0.9587 0.2500 0.0984
0.9968 0.2500 0.6371
```

Output
Crystal system ... monoclinic
Calculated volume ... 170.2 Å³ per cell
Calculated density ... 5.3 Mg/m³

***

# Mg3AlAu2

An optimized crystal structure of Mg3AlAu2 (PBE, Alexandria via LeMat-Bulk).

POSCAR file:
```
Mg3AlAu2
1.0
7.4258 -1.9901 0.0000
7.4258 1.9901 0.0000
-1.1205 0.0000 3.9823
Mg Al Au
3 1 2
Direct
0.0000 0.0000 0.0000
0.3203 0.3203 0.8233
0.6797 0.6797 0.1767
0.5000 0.5000 0.5000
0.1283 0.1283 0.6259
0.8717 0.8717 0.3741
```

Output
Relative energy among the computed polymorphs ... 0.015 eV/atom
Crystal system ... monoclinic
Calculated volume ... 117.7 Å³ per cell
Formation energy from the elements ... -9.78 kcal/mol of atoms
Calculated density ... 7.0 Mg/m³

***

# ZrGe2Pd

An optimized crystal structure of ZrGe2Pd (PBE, Alexandria via LeMat-Bulk).

POSCAR file:
```
ZrGe2Pd
1.0
-1.9939 1.9939 8.9328
1.9939 -1.9939 8.9328
1.9939 1.9939 -8.9328
Zr Ge Pd
2 4 2
Direct
0.1102 0.1102 0.0000
0.8898 0.8898 0.0000
0.0000 0.5000 0.5000
0.3415 0.3415 0.0000
0.5000 0.0000 0.5000
0.6585 0.6585 0.0000
0.2500 0.7500 0.5000
0.7500 0.2500 0.5000
```

Output
Crystal system ... tetragonal
Calculated volume ... 142.1 Å³ per cell
Formation energy from the elements ... -13.25 kcal/mol of atoms
Calculated density ... 8.0 Mg/m³

***

# ScInO

An optimized crystal structure of ScInO (PBE, Alexandria via LeMat-Bulk).

POSCAR file:
```
ScInO
1.0
1.7504 1.0106 10.1644
-1.7504 1.0106 10.1644
0.0000 -2.0211 10.1644
Sc In O
2 2 2
Direct
0.1220 0.1220 0.1220
0.8780 0.8780 0.8780
0.3713 0.3713 0.3713
0.6287 0.6287 0.6287
0.1955 0.1955 0.1955
0.8045 0.8045 0.8045
```

Output
Crystal system ... trigonal
Calculated volume ... 107.9 Å³ per cell
Calculated density ... 5.4 Mg/m³

***

# ZrTiI2

An optimized crystal structure of ZrTiI2 (PBE, Alexandria via LeMat-Bulk).

POSCAR file:
```
ZrTiI2
1.0
0.0000 3.5510 3.5510
3.5510 0.0000 3.5510
3.5510 3.5510 0.0000
Zr Ti I
1 1 2
Direct
0.0000 0.0000 0.0000
0.5000 0.5000 0.5000
0.2500 0.2500 0.2500
0.7500 0.7500 0.7500
```

Output
Relative energy among the computed polymorphs ... 0.000 eV/atom
Crystal system ... cubic
Calculated volume ... 89.6 Å³ per cell
Calculated density ... 7.3 Mg/m³

***

# LiY2HgBr

An optimized crystal structure of LiY2HgBr (PBE, Alexandria via LeMat-Bulk).

POSCAR file:
```
LiY2HgBr
1.0
5.5276 0.0000 0.0000
0.0000 5.5276 0.0000
0.0000 0.0000 4.3072
Li Y Hg Br
1 2 1 1
Direct
0.0000 0.0000 0.0000
0.0000 0.5000 0.0000
0.5000 0.0000 0.0000
0.5000 0.5000 0.5000
0.0000 0.0000 0.5000
```

Output
Crystal system ... tetragonal
Calculated volume ... 131.6 Å³ per cell
Calculated density ... 5.9 Mg/m³

***

# Hf4TiAl3

An optimized crystal structure of Hf4TiAl3 (PBE, Alexandria via LeMat-Bulk).

POSCAR file:
```
Hf4TiAl3
1.0
9.8131 0.0000 0.0000
0.0000 6.1066 0.0000
0.0000 0.0000 5.1039
Hf Ti Al
8 2 6
Direct
0.0000 0.2471 0.0000
0.0000 0.7529 0.0000
0.2500 0.2489 0.3628
0.2500 0.7511 0.3628
0.5000 0.2471 0.0000
0.5000 0.7529 0.0000
0.7500 0.2489 0.6372
0.7500 0.7511 0.6372
0.0000 0.0000 0.5000
0.5000 0.0000 0.5000
0.0000 0.5000 0.5000
0.2500 0.0000 0.8465
0.2500 0.5000 0.8537
0.5000 0.5000 0.5000
0.7500 0.0000 0.1535
0.7500 0.5000 0.1463
```

Output
Crystal system ... orthorhombic
Calculated volume ... 305.8 Å³ per cell
Formation energy from the elements ... -6.04 kcal/mol of atoms
Calculated density ... 9.2 Mg/m³

***

# ZrPdNO2

An optimized crystal structure of ZrPdNO2 (PBE, Alexandria via LeMat-Bulk).

POSCAR file:
```
ZrPdNO2
1.0
4.1238 0.0000 0.0000
0.0000 4.1238 0.0000
0.0000 0.0000 4.3778
Zr Pd N O
1 1 1 2
Direct
0.0000 0.0000 0.0000
0.5000 0.5000 0.5000
0.0000 0.0000 0.5000
0.0000 0.5000 0.0000
0.5000 0.0000 0.0000
```

Output
Crystal system ... tetragonal
Calculated volume ... 74.4 Å³ per cell
Calculated density ... 5.4 Mg/m³

***

# Y3Mg2Cu4

An optimized crystal structure of Y3Mg2Cu4 (PBE, Alexandria via LeMat-Bulk).

POSCAR file:
```
Y3Mg2Cu4
1.0
7.0939 -1.9130 0.0000
7.0939 1.9130 0.0000
-1.6159 0.0000 6.9941
Y Mg Cu
3 2 4
Direct
0.0000 0.0000 0.0000
0.1401 0.1401 0.5883
0.8599 0.8599 0.4117
0.3295 0.3295 0.0249
0.6705 0.6705 0.9751
0.1969 0.1969 0.2395
0.4930 0.4930 0.6805
0.5070 0.5070 0.3195
0.8031 0.8031 0.7605
```

Output
Crystal system ... monoclinic
Calculated volume ... 189.8 Å³ per cell
Formation energy from the elements ... -1.96 kcal/mol of atoms
Calculated density ... 5.0 Mg/m³

***

# Cs2In15Pb2

An optimized crystal structure of Cs2In15Pb2 (PBE, Alexandria via LeMat-Bulk).

POSCAR file:
```
Cs2In15Pb2
1.0
5.5997 3.2330 5.4549
-5.5997 3.2330 5.4549
0.0000 -6.4659 5.4549
Cs In Pb
2 15 2
Direct
0.1571 0.1571 0.1571
0.8429 0.8429 0.8429
0.0000 0.5000 0.5000
0.1478 0.1478 0.6549
0.1478 0.6549 0.1478
0.2065 0.5000 0.7935
0.2065 0.7935 0.5000
0.3451 0.8522 0.8522
0.5000 0.0000 0.5000
0.5000 0.2065 0.7935
0.5000 0.5000 0.0000
0.5000 0.7935 0.2065
0.6549 0.1479 0.1478
0.7935 0.2065 0.5000
0.7935 0.5000 0.2065
0.8521 0.3451 0.8521
0.8521 0.8522 0.3451
0.3991 0.3991 0.3991
0.6009 0.6009 0.6009
```

Output
Crystal system ... trigonal
Calculated volume ... 592.5 Å³ per cell
Formation energy from the elements ... -0.86 kcal/mol of atoms
Calculated density ... 6.7 Mg/m³

***

# TcS

An optimized crystal structure of TcS (PBE, Alexandria via LeMat-Bulk).

POSCAR file:
```
TcS
1.0
3.8745 -1.4982 0.0000
3.8745 1.4982 0.0000
-2.3523 0.0000 7.0240
Tc S
2 2
Direct
0.0464 0.0464 0.1559
0.9536 0.9536 0.8441
0.2113 0.2113 0.7396
0.7887 0.7887 0.2604
```

Output
Relative energy among the computed polymorphs ... 0.244 eV/atom
Crystal system ... monoclinic
Calculated volume ... 81.5 Å³ per cell
Calculated density ... 5.3 Mg/m³

***

# Fe2PbCl8

An optimized crystal structure of Fe2PbCl8 (PBE, Alexandria via LeMat-Bulk).

POSCAR file:
```
Fe2PbCl8
1.0
6.6234 -4.5184 0.0000
6.6234 4.5184 0.0000
-1.1005 0.0000 6.5441
Fe Pb Cl
2 1 8
Direct
0.1958 0.1958 0.1564
0.8042 0.8042 0.8436
0.0000 0.0000 0.5000
0.0808 0.6936 0.7363
0.1819 0.1819 0.8161
0.3064 0.9192 0.2637
0.3559 0.3559 0.2848
0.6441 0.6441 0.7152
0.6936 0.0808 0.7363
0.8181 0.8181 0.1839
0.9192 0.3064 0.2637
```

Output
Crystal system ... monoclinic
Calculated volume ... 391.7 Å³ per cell
Calculated density ... 2.6 Mg/m³

***

# TiAlGa2

An optimized crystal structure of TiAlGa2 (PBE, Alexandria via LeMat-Bulk).

POSCAR file:
```
TiAlGa2
1.0
-3.5851 3.5851 2.7380
3.5851 -3.5851 2.7380
3.5851 3.5851 -2.7380
Ti Al Ga
2 2 4
Direct
0.0000 0.0000 0.0000
0.7500 0.2500 0.5000
0.2500 0.7500 0.5000
0.5000 0.5000 0.0000
0.1393 0.1250 0.5143
0.3750 0.8607 0.9857
0.6107 0.6250 0.4857
0.8750 0.3893 0.0143
```

Output
Crystal system ... tetragonal
Calculated volume ... 140.8 Å³ per cell
Formation energy from the elements ... 0.33 kcal/mol of atoms
Calculated density ... 5.1 Mg/m³

***

# LaSc2GaO

An optimized crystal structure of LaSc2GaO (PBE, Alexandria via LeMat-Bulk).

POSCAR file:
```
LaSc2GaO
1.0
4.4861 0.0000 0.0000
0.0000 4.4861 0.0000
0.0000 0.0000 4.9364
La Sc Ga O
1 2 1 1
Direct
0.0000 0.0000 0.0000
0.0000 0.5000 0.5000
0.5000 0.0000 0.5000
0.5000 0.5000 0.0000
0.0000 0.0000 0.5000
```

Output
Crystal system ... tetragonal
Calculated volume ... 99.3 Å³ per cell
Calculated density ... 5.3 Mg/m³

***

| no. | VASP energy (eV per atom) |
| --- | --- |
| 1 | -2.465 |
| 2 | -3.851 |
| 3 | -5.894 |
| 4 | -2.912 |
| 5 | -9.119 |
| 6 | -3.708 |
| 7 | -8.068 |
| 8 | -2.938 |
| 9 | -6.319 |
| 10 | -6.698 |
| 11 | -4.797 |
| 12 | -3.317 |
| 13 | -7.629 |
| 14 | -6.997 |
| 15 | -4.415 |
| 16 | -2.679 |
| 17 | -7.391 |
| 18 | -4.095 |
| 19 | -4.409 |
| 20 | -6.470 |